No. 1
# YGa12Ir6 | Alexandria | GGA-PBE | relaxed
data_YGa12Ir6
_chemical_formula_sum 'Y3 Ga36 Ir18'
_cell_length_a 11.4544
_cell_length_b 11.4544
_cell_length_c 8.6093
_cell_angle_alpha 90.00
_cell_angle_beta 90.00
_cell_angle_gamma 120.00
_symmetry_space_group_name_H-M 'R -3 m'
_symmetry_Int_Tables_number 166
_symmetry_space_group_name_Hall '-R 3 2"'
loop_
_atom_site_label
_atom_site_fract_x
_atom_site_fract_y
_atom_site_fract_z
Y1 0.0000 0.0000 0.0000
Ga1 0.0000 0.3857 0.5000
Ga2 0.0911 0.1823 0.3106
Ir1 0.0529 0.5265 0.2510
# - E_form: -405 meV/atom
# - Total energy: -5.46 eV/atom

=====

No. 2
# Y8Ga2Ir | Alexandria | GGA-PBE | relaxed
data_Y8Ga2Ir
_chemical_formula_sum 'Y16 Ga4 Ir2'
_cell_length_a 18.6448
_cell_length_b 4.9647
_cell_length_c 6.5943
_cell_angle_alpha 90.00
_cell_angle_beta 103.24
_cell_angle_gamma 90.00
_symmetry_space_group_name_H-M 'C 1 2/m 1'
_symmetry_Int_Tables_number 12
loop_
_symmetry_equiv_pos_as_xyz
'x,y,z'
'-x,-y,-z'
'-x,y,-z'
'x,-y,z'
'x+1/2,y+1/2,z'
'-x+1/2,-y+1/2,-z'
'-x+1/2,y+1/2,-z'
'x+1/2,-y+1/2,z'
loop_
_atom_site_label
_atom_site_fract_x
_atom_site_fract_y
_atom_site_fract_z
Y1 0.0263 0.0000 0.2860
Y2 0.0887 0.5000 0.9481
Y3 0.1529 0.5000 0.4798
Y4 0.2107 0.0000 0.8230
Ga1 0.1865 0.0000 0.2547
Ir1 0.0000 0.5000 0.5000
# - E_form: -405 meV/atom
# - Total energy: -6.46 eV/atom

=====

No. 3
# YGa12Ir4 | Alexandria | GGA-PBE | relaxed
data_YGa12Ir4
_chemical_formula_sum 'Y2 Ga24 Ir8'
_cell_length_a 8.8196
_cell_length_b 8.8196
_cell_length_c 8.8196
_cell_angle_alpha 90.00
_cell_angle_beta 90.00
_cell_angle_gamma 90.00
_symmetry_space_group_name_H-M 'I m -3'
_symmetry_Int_Tables_number 204
_symmetry_space_group_name_Hall '-I 2 2 3'
loop_
_atom_site_label
_atom_site_fract_x
_atom_site_fract_y
_atom_site_fract_z
Y1 0.0000 0.0000 0.0000
Ga1 0.0000 0.1591 0.3376
Ir1 0.2500 0.2500 0.2500
# - E_form: -169 meV/atom
# - Total energy: -4.77 eV/atom

=====

No. 4
# YGa3Ir | Alexandria | GGA-PBE | relaxed
data_YGa3Ir
_chemical_formula_sum 'Y1 Ga3 Ir1'
_cell_length_a 4.7796
_cell_length_b 4.7796
_cell_length_c 4.7796
_cell_angle_alpha 90.00
_cell_angle_beta 90.00
_cell_angle_gamma 90.00
_symmetry_space_group_name_H-M 'P m -3 m'
_symmetry_Int_Tables_number 221
_symmetry_space_group_name_Hall '-P 4 2 3'
loop_
_atom_site_label
_atom_site_fract_x
_atom_site_fract_y
_atom_site_fract_z
Y1 0.0000 0.0000 0.0000
Ga1 0.0000 0.5000 0.5000
Ir1 0.5000 0.5000 0.5000
# - E above lowest polymorph: 0.432 eV/atom
# - E_form: -245 meV/atom
# - Total energy: -5.13 eV/atom

=====

No. 5
# Y2Ga2Ir | Alexandria | GGA-PBE | relaxed
data_Y2Ga2Ir
_chemical_formula_sum 'Y8 Ga8 Ir4'
_cell_length_a 10.8325
_cell_length_b 4.1504
_cell_length_c 10.6198
_cell_angle_alpha 90.00
_cell_angle_beta 115.80
_cell_angle_gamma 90.00
_symmetry_space_group_name_H-M 'C 1 2/m 1'
_symmetry_Int_Tables_number 12
loop_
_symmetry_equiv_pos_as_xyz
'x,y,z'
'-x,-y,-z'
'-x,y,-z'
'x,-y,z'
'x+1/2,y+1/2,z'
'-x+1/2,-y+1/2,-z'
'-x+1/2,y+1/2,-z'
'x+1/2,-y+1/2,z'
loop_
_atom_site_label
_atom_site_fract_x
_atom_site_fract_y
_atom_site_fract_z
Y1 0.0051 0.0000 0.3294
Y2 0.1897 0.0000 0.1208
Ga1 0.0252 0.5000 0.8890
Ga2 0.1501 0.5000 0.5520
Ir1 0.2168 0.5000 0.3347
# - E above lowest polymorph: 0.000 eV/atom
# - E_form: -778 meV/atom
# - Total energy: -6.35 eV/atom

=====

No. 6
# Y2Ga8Ir | Alexandria | GGA-PBE | relaxed
data_Y2Ga8Ir
_chemical_formula_sum 'Y2 Ga8 Ir1'
_cell_length_a 4.3272
_cell_length_b 4.3272
_cell_length_c 11.1719
_cell_angle_alpha 90.00
_cell_angle_beta 90.00
_cell_angle_gamma 90.00
_symmetry_space_group_name_H-M 'P 4/m m m'
_symmetry_Int_Tables_number 123
_symmetry_space_group_name_Hall '-P 4 2'
loop_
_atom_site_label
_atom_site_fract_x
_atom_site_fract_y
_atom_site_fract_z
Y1 0.0000 0.0000 0.1928
Ga1 0.0000 0.5000 0.0000
Ga2 0.0000 0.5000 0.3785
Ga3 0.5000 0.5000 0.1932
Ir1 0.0000 0.0000 0.5000
# - E_form: -543 meV/atom
# - Total energy: -4.73 eV/atom